(1)
# Al4Ag15Sn, relaxed, DFT PBE-GGA
# Energy of formation from the pure elements ... -33 kJ/mol of formula units
# D(E_F) ... 4.1 states/eV/cell
data_Al4Ag15Sn
_symmetry_space_group_name_H-M 'P 4/m m m'
_symmetry_Int_Tables_number 123
_symmetry_space_group_name_Hall '-P 4 2'
_cell_length_a 4.150
_cell_length_b 4.150
_cell_length_c 20.544
_cell_angle_alpha 90.00
_cell_angle_beta 90.00
_cell_angle_gamma 90.00
loop_
_atom_site_label
_atom_site_fract_x
_atom_site_fract_y
_atom_site_fract_z
Al1 0.000 0.000 0.098
Al2 0.000 0.000 0.295
Ag1 0.000 0.500 0.000
Ag2 0.000 0.500 0.195
Ag3 0.000 0.500 0.391
Ag4 0.500 0.500 0.098
Ag5 0.500 0.500 0.293
Ag6 0.500 0.500 0.500
Sn1 0.000 0.000 0.500

---

(2)
# HoZn4Ir, relaxed, DFT PBE-GGA
# Energy of formation from the pure elements ... -247 kJ/mol of formula units
data_HoZn4Ir
_symmetry_space_group_name_H-M 'F -4 3 m'
_symmetry_Int_Tables_number 216
_symmetry_space_group_name_Hall 'F -4 2 3'
_cell_length_a 7.213
_cell_length_b 7.213
_cell_length_c 7.213
_cell_angle_alpha 90.00
_cell_angle_beta 90.00
_cell_angle_gamma 90.00
loop_
_atom_site_label
_atom_site_fract_x
_atom_site_fract_y
_atom_site_fract_z
Ho1 0.000 0.000 0.000
Zn1 0.124 0.124 0.376
Ir1 0.250 0.250 0.750

---

(3)
# Dy2Cd5In, relaxed, DFT PBE-GGA
# Energy of formation from the pure elements ... -175 kJ/mol of formula units
# D(E_F) ... 19.9 states/eV/cell
data_Dy2Cd5In
_symmetry_space_group_name_H-M 'C m c m'
_symmetry_Int_Tables_number 63
_symmetry_space_group_name_Hall '-C 2c 2'
_cell_length_a 4.290
_cell_length_b 18.157
_cell_length_c 10.174
_cell_angle_alpha 90.00
_cell_angle_beta 90.00
_cell_angle_gamma 90.00
loop_
_atom_site_label
_atom_site_fract_x
_atom_site_fract_y
_atom_site_fract_z
Dy1 0.000 0.000 0.000
Dy2 0.000 0.184 0.250
Cd1 0.000 0.207 0.600
Cd2 0.000 0.367 0.531
Cd3 0.000 0.382 0.250
In1 0.000 0.464 0.750

---

(4)
# Hf3Mn4Si6, relaxed, DFT PBE-GGA
# D(E_F) ... 58.9 states/eV/cell
# Energy ... -8.266 eV/atom
data_Hf3Mn4Si6
_symmetry_space_group_name_H-M 'P 42/m b c'
_symmetry_Int_Tables_number 135
_symmetry_space_group_name_Hall '-P 4c 2ab'
_cell_length_a 16.958
_cell_length_b 16.958
_cell_length_c 5.032
_cell_angle_alpha 90.00
_cell_angle_beta 90.00
_cell_angle_gamma 90.00
loop_
_atom_site_label
_atom_site_fract_x
_atom_site_fract_y
_atom_site_fract_z
Hf1 0.027 0.290 0.000
Hf2 0.101 0.204 0.500
Hf3 0.203 0.784 0.500
Mn1 0.039 0.385 0.500
Mn2 0.052 0.845 0.250
Mn3 0.125 0.625 0.250
Si1 0.021 0.565 0.000
Si2 0.031 0.062 0.500
Si3 0.049 0.724 0.500
Si4 0.069 0.137 0.000
Si5 0.131 0.751 0.000
Si6 0.160 0.340 0.250

---

(5)
# Ba2Na2ZnBi4, relaxed, DFT PBE-GGA
# Energy of formation from the pure elements ... -404 kJ/mol of formula units
# D(E_F) ... 4.5 states/eV/cell
data_Ba2Na2ZnBi4
_symmetry_space_group_name_H-M 'I 4/m m m'
_symmetry_Int_Tables_number 139
_symmetry_space_group_name_Hall '-I 4 2'
_cell_length_a 7.733
_cell_length_b 7.733
_cell_length_c 10.219
_cell_angle_alpha 90.00
_cell_angle_beta 90.00
_cell_angle_gamma 90.00
loop_
_atom_site_label
_atom_site_fract_x
_atom_site_fract_y
_atom_site_fract_z
Ba1 0.000 0.500 0.250
Na1 0.000 0.000 0.208
Zn1 0.000 0.000 0.500
Bi1 0.237 0.237 0.000

---

(6)
# NpInOsRh, relaxed, DFT PBE-GGA
# Energy of formation from the pure elements ... -23 kJ/mol of formula units
# D(E_F) ... 21.4 states/eV/cell
data_NpInOsRh
_symmetry_space_group_name_H-M 'F -4 3 m'
_symmetry_Int_Tables_number 216
_symmetry_space_group_name_Hall 'F -4 2 3'
_cell_length_a 6.652
_cell_length_b 6.652
_cell_length_c 6.652
_cell_angle_alpha 90.00
_cell_angle_beta 90.00
_cell_angle_gamma 90.00
loop_
_atom_site_label
_atom_site_fract_x
_atom_site_fract_y
_atom_site_fract_z
Np1 0.000 0.000 0.000
In1 0.000 0.000 0.500
Os1 0.250 0.250 0.750
Rh1 0.250 0.250 0.250

---

Number 1: total moment 0.000 μB/f.u.. Number 2: total moment 0.000 μB/f.u.. Number 3: total moment 0.000 μB/f.u.. Number 4: total moment 3.305 μB/f.u.. Number 5: total moment 0.000 μB/f.u.. Number 6: total moment 2.918 μB/f.u..